The following is a DFT calculation (meta-GGA SCAN) of a PBEsol-optimized structure of ReIrPdW2.

a b c (Å): 4.606 4.606 4.671
angles (deg): 90.00 90.00 90.00
Sites, in units of the cell vectors:
1 Re 0.500 0.500 0.500
2 Ir 0.000 0.000 0.000
3 Pd 0.000 0.000 0.500
4 W 0.000 0.500 0.000
5 W 0.500 0.000 0.000

Output
ρ, Mg/m³: 14.28
Calculated volume, Å³ per atom: 19.822
Fermi-level density of states, states/eV per atom: 0.984
Formation enthalpy at 0 K, eV/f.u.: 11.32

The following is a DFT calculation (meta-GGA SCAN) of a PBEsol-optimized structure of Y2CuOs.

a b c (Å): 3.416 4.768 4.768
angles (deg): 90.00 90.00 90.00
Sites, in units of the cell vectors:
1 Y 0.000 0.000 0.500
2 Y 0.000 0.500 0.000
3 Os 0.500 0.000 0.000
4 Cu 0.500 0.500 0.500

Output
ρ, Mg/m³: 9.23
Calculated volume, Å³ per atom: 19.415
Fermi-level density of states, states/eV per atom: 0.518
Formation enthalpy at 0 K, eV/f.u.: -1.20

The following is a DFT calculation (meta-GGA SCAN) of a PBEsol-optimized structure of LaY2Rh.

a b c (Å): 5.086 5.086 5.086
angles (deg): 60.00 60.00 60.00
Sites, in units of the cell vectors:
1 La 0.000 0.000 0.000
2 Rh 0.500 0.500 0.500
3 Y 0.250 0.250 0.250
4 Y 0.750 0.750 0.750

Output
E above lowest polymorph, eV per atom: 0.344
ρ, Mg/m³: 7.49
Calculated volume, Å³ per atom: 23.263
Fermi-level density of states, states/eV per atom: 1.375
Formation enthalpy at 0 K, eV/f.u.: -0.55